Entry 1:
Here is LiMoSN2 after structural relaxation from Alexandria. Energies are from PBE-GGA.

Results
energy above the most stable polymorph in this dataset = 1478 meV per atom
V = 56.0 Å³ per cell
raw formation energy = 1497 meV per atom
total moment = 1.20 μB/f.u.
VASP energy = -5.2078 eV per atom
density of states at the Fermi level = 3.1 states/eV/f.u.

Cell: 3.6124 3.6124 4.2949 Å, 90.00 90.00 90.00°
Atoms (fractional coordinates):
Mo  0.5000  0.5000  0.5000
Li  0.0000  0.0000  0.0000
S  0.0000  0.0000  0.5000
N  0.0000  0.5000  0.0000
N  0.5000  0.0000  0.0000


Entry 2:
Here is LiSbMoN2 after structural relaxation from Alexandria. Energies are from PBE-GGA.

Results
V = 94.2 Å³ per cell
raw formation energy = 1845 meV per atom
total moment = 4.79 μB/f.u.
VASP energy = -4.8585 eV per atom
density of states at the Fermi level = 2.5 states/eV/f.u.

Cell: 4.1961 5.3494 4.1961 Å, 90.00 90.00 90.00°
Atoms (fractional coordinates):
Sb  0.0000  0.0000  0.0000
Mo  0.0000  0.5000  0.0000
Li  0.5000  0.5000  0.5000
N  0.0000  0.0000  0.5000
N  0.5000  0.0000  0.0000